First-principles (PBE-GGA) data for a relaxed structure of BiSbSe2, as listed in Alexandria.

Results
The energy above the most stable polymorph in this dataset comes out at 0.1314 eV per atom. Its density of states at the Fermi level is 0.573 states/eV per atom. Its space group is No. 225.

Lattice parameters (Å, degrees): 5.1804 5.1804 5.1804 60.00 60.00 60.00
Closest atoms and distances in Å follow each position.
Fractional positions:
Bi  0.0000  0.0000  0.0000  8 Se 3.17
Sb  0.5000  0.5000  0.5000  8 Se 3.17
Se  0.2500  0.2500  0.2500  4 Sb 3.17, 4 Bi 3.17
Se  0.7500  0.7500  0.7500  4 Sb 3.17, 4 Bi 3.17